VASP calculation (GGA-PBE) on a relaxed structure of CrCu2W.

The structure in POSCAR format:
```
CrCu2W
1.0
4.316 -1.275 0.000
4.316 1.275 0.000
-0.536 0.000 4.769
Cr Cu W
1 2 1
Direct
0.000 0.000 0.000
0.256 0.256 0.743
0.509 0.509 0.518
0.760 0.760 0.247
```

Properties
mass density	11.48	g/cm³
E above lowest polymorph	111.5	meV per atom
DOS(E_F)	2.8	states/eV/f.u.

VASP calculation (GGA-PBE) on a relaxed structure of Tb3HoTl3.

The structure in POSCAR format:
```
Tb3HoTl3
1.0
9.354 0.000 0.000
0.000 9.354 0.000
0.000 0.000 9.354
Tb Ho Tl
12 4 12
Direct
0.072 0.428 0.572
0.176 0.176 0.176
0.176 0.824 0.324
0.324 0.176 0.824
0.324 0.824 0.676
0.428 0.572 0.072
0.572 0.072 0.428
0.676 0.324 0.824
0.676 0.676 0.676
0.824 0.324 0.176
0.824 0.676 0.324
0.928 0.928 0.928
0.074 0.574 0.926
0.426 0.426 0.426
0.574 0.926 0.074
0.926 0.074 0.574
0.000 0.252 0.873
0.000 0.752 0.627
0.127 0.500 0.248
0.248 0.127 0.500
0.252 0.873 0.000
0.373 0.500 0.748
0.500 0.248 0.127
0.500 0.748 0.373
0.627 0.000 0.752
0.748 0.373 0.500
0.752 0.627 0.000
0.873 0.000 0.252
```

Properties
mass density	10.19	g/cm³
E above lowest polymorph	0.0	meV per atom
DOS(E_F)	9.4	states/eV/f.u.

VASP calculation (GGA-PBE) on a relaxed structure of TiNO2.

The structure in POSCAR format:
```
TiNO2
1.0
9.006 -1.511 0.000
9.006 1.511 0.000
-1.481 0.000 4.958
Ti N O
2 2 4
Direct
0.238 0.238 0.244
0.762 0.762 0.756
0.001 0.001 0.393
0.999 0.999 0.607
0.195 0.195 0.530
0.308 0.308 0.974
0.692 0.692 0.026
0.805 0.805 0.470
```

Properties
mass density	2.31	g/cm³
E_form (uncorrected)	-832	kJ/mol of formula units
DOS(E_F)	0.0	states/eV/f.u.

VASP calculation (GGA-PBE) on a relaxed structure of BeNbPdRu2.

The structure in POSCAR format:
```
BeNbPdRu2
1.0
4.183 0.000 0.000
0.000 4.183 0.000
0.000 0.000 4.056
Be Nb Pd Ru
1 1 1 2
Direct
0.000 0.000 0.000
0.500 0.500 0.500
0.000 0.000 0.500
0.000 0.500 0.000
0.500 0.000 0.000
```

Properties
mass density	9.61	g/cm³
raw total energy	-37.28	eV/cell
DOS(E_F)	4.8	states/eV/f.u.

VASP calculation (GGA-PBE) on a relaxed structure of HoScPd4.

The structure in POSCAR format:
```
HoScPd4
1.0
3.952 0.000 0.000
0.000 3.952 0.000
0.000 0.000 7.918
Ho Sc Pd
1 1 4
Direct
0.000 0.000 0.000
0.500 0.500 0.500
0.000 0.500 0.263
0.000 0.500 0.737
0.500 0.000 0.263
0.500 0.000 0.737
```

Properties
mass density	8.53	g/cm³
E above lowest polymorph	174.5	meV per atom
DOS(E_F)	2.7	states/eV/f.u.

VASP calculation (GGA-PBE) on a relaxed structure of HoCo2SiH.

The structure in POSCAR format:
```
HoCo2SiH
1.0
1.800 -5.078 0.000
1.800 5.078 0.000
0.000 0.000 6.741
Ho Co Si H
2 4 2 2
Direct
0.057 0.943 0.750
0.943 0.057 0.250
0.338 0.662 0.557
0.338 0.662 0.943
0.662 0.338 0.057
0.662 0.338 0.443
0.223 0.777 0.250
0.777 0.223 0.750
0.500 0.500 0.000
0.500 0.500 0.500
```

Properties
mass density	8.40	g/cm³
raw total energy	-61.03	eV/cell
DOS(E_F)	5.4	states/eV/f.u.

VASP calculation (GGA-PBE) on a relaxed structure of SrY2Tm.

The structure in POSCAR format:
```
SrY2Tm
1.0
1.837 1.060 12.105
-1.837 1.060 12.105
0.000 -2.121 12.105
Sr Y Tm
1 2 1
Direct
0.000 0.000 0.000
0.244 0.244 0.244
0.424 0.424 0.424
0.834 0.834 0.834
```

Properties
mass density	5.10	g/cm³
E above lowest polymorph	5.6	meV per atom
DOS(E_F)	5.9	states/eV/f.u.